[1]
PBE-GGA Na3Tl6Pb, relaxed; DOS at the Fermi energy = 0.41 states/eV/atom; DFT total energy = -45.46 eV for the cell shown; volume = 584.7 Å³ per cell; size of the total moment = 0.0 μB/f.u.
1.0
9.246 0.000 0.000
0.000 5.619 0.000
-3.893 0.000 11.256
Na Tl Pb
6 12 2
Direct
0.089 0.250 0.230 Na
0.302 0.250 0.030 Na
0.310 0.750 0.369 Na
0.690 0.250 0.631 Na
0.698 0.750 0.970 Na
0.911 0.750 0.770 Na
0.094 0.250 0.735 Tl
0.098 0.750 0.066 Tl
0.299 0.250 0.532 Tl
0.303 0.750 0.864 Tl
0.496 0.250 0.330 Tl
0.497 0.750 0.167 Tl
0.503 0.250 0.833 Tl
0.504 0.750 0.670 Tl
0.697 0.250 0.136 Tl
0.701 0.750 0.468 Tl
0.902 0.250 0.934 Tl
0.906 0.750 0.265 Tl
0.100 0.750 0.564 Pb
0.900 0.250 0.436 Pb

***

[2]
PBE-GGA Na2Tl2Pb, relaxed; DOS at the Fermi energy = 0.47 states/eV/atom; DFT total energy = -22.79 eV for the cell shown; volume = 295.2 Å³ per cell; size of the total moment = 0.0 μB/f.u.
1.0
8.597 0.000 0.000
0.000 8.597 0.000
0.000 0.000 3.995
Na Tl Pb
4 4 2
Direct
0.167 0.333 0.000 Na
0.333 0.833 0.000 Na
0.667 0.167 0.000 Na
0.833 0.667 0.000 Na
0.134 0.634 0.500 Tl
0.366 0.134 0.500 Tl
0.634 0.866 0.500 Tl
0.866 0.366 0.500 Tl
0.000 0.000 0.500 Pb
0.500 0.500 0.500 Pb

***

[3]
PBE-GGA Na3Tl8Pb2, relaxed; DOS at the Fermi energy = 0.45 states/eV/atom; DFT total energy = -30.27 eV for the cell shown; volume = 409.2 Å³ per cell; size of the total moment = 0.0 μB/f.u.
1.0
3.865 -9.452 0.000
3.865 9.452 0.000
0.000 0.000 5.601
Na Tl Pb
3 8 2
Direct
0.000 0.000 0.000 Na
0.283 0.283 0.500 Na
0.717 0.717 0.500 Na
0.137 0.863 0.500 Tl
0.184 0.400 0.000 Tl
0.327 0.673 0.500 Tl
0.400 0.184 0.000 Tl
0.600 0.816 0.000 Tl
0.673 0.327 0.500 Tl
0.816 0.600 0.000 Tl
0.863 0.137 0.500 Tl
0.234 0.766 0.000 Pb
0.766 0.234 0.000 Pb

***

[4]
PBE-GGA Na7TlPb2, relaxed; DOS at the Fermi energy = 0.69 states/eV/atom; DFT total energy = -18.11 eV for the cell shown; volume = 418.3 Å³ per cell; size of the total moment = 0.0 μB/f.u.
1.0
4.621 -7.556 0.000
4.621 7.556 0.000
0.000 0.000 5.990
Na Tl Pb
7 1 2
Direct
0.000 0.000 0.000 Na
0.196 0.436 0.000 Na
0.245 0.755 0.500 Na
0.436 0.196 0.000 Na
0.564 0.804 0.000 Na
0.755 0.245 0.500 Na
0.804 0.564 0.000 Na
0.500 0.500 0.500 Tl
0.207 0.793 0.000 Pb
0.793 0.207 0.000 Pb

***

[5]
PBE-GGA Na3Tl2Pb8, relaxed; DOS at the Fermi energy = 0.41 states/eV/atom; DFT total energy = -38.14 eV for the cell shown; volume = 414.6 Å³ per cell; size of the total moment = 0.0 μB/f.u.
1.0
4.068 -9.031 0.000
4.068 9.031 0.000
0.000 0.000 5.644
Na Tl Pb
3 2 8
Direct
0.000 0.000 0.000 Na
0.286 0.286 0.500 Na
0.714 0.714 0.500 Na
0.229 0.771 0.000 Tl
0.771 0.229 0.000 Tl
0.140 0.860 0.500 Pb
0.197 0.410 0.000 Pb
0.329 0.671 0.500 Pb
0.410 0.197 0.000 Pb
0.590 0.803 0.000 Pb
0.671 0.329 0.500 Pb
0.803 0.590 0.000 Pb
0.860 0.140 0.500 Pb

***

[6]
PBE-GGA Na2Tl3Pb2, relaxed; DOS at the Fermi energy = 0.46 states/eV/atom; DFT total energy = -35.56 eV for the cell shown; volume = 410.9 Å³ per cell; size of the total moment = 0.0 μB/f.u.
1.0
11.192 0.000 0.000
0.000 4.888 0.000
-0.692 0.000 7.511
Na Tl Pb
4 6 4
Direct
0.073 0.000 0.220 Na
0.427 0.500 0.780 Na
0.573 0.500 0.220 Na
0.927 0.000 0.780 Na
0.000 0.500 0.500 Tl
0.143 0.500 0.934 Tl
0.357 0.000 0.066 Tl
0.500 0.000 0.500 Tl
0.643 0.000 0.934 Tl
0.857 0.500 0.066 Tl
0.215 0.000 0.646 Pb
0.285 0.500 0.354 Pb
0.715 0.500 0.646 Pb
0.785 0.000 0.354 Pb

***

[7]
PBE-GGA Na2TlPb2, relaxed; DOS at the Fermi energy = 0.46 states/eV/atom; DFT total energy = -26.11 eV for the cell shown; volume = 291.8 Å³ per cell; size of the total moment = 0.0 μB/f.u.
1.0
5.340 -2.453 0.000
5.340 2.453 0.000
-0.461 0.000 11.138
Na Tl Pb
4 2 4
Direct
0.047 0.047 0.154 Na
0.149 0.149 0.453 Na
0.851 0.851 0.547 Na
0.953 0.953 0.846 Na
0.253 0.253 0.746 Tl
0.747 0.747 0.254 Tl
0.346 0.346 0.049 Pb
0.447 0.447 0.350 Pb
0.553 0.553 0.650 Pb
0.654 0.654 0.951 Pb

***

[8]
PBE-GGA Na4Tl2Pb, relaxed; DOS at the Fermi energy = 0.37 states/eV/atom; DFT total energy = -14.13 eV for the cell shown; volume = 213.4 Å³ per cell; size of the total moment = 0.0 μB/f.u.
1.0
8.319 0.000 0.000
0.000 3.421 0.000
-4.013 0.000 7.499
Na Tl Pb
4 2 1
Direct
0.149 0.000 0.249 Na
0.277 0.500 0.939 Na
0.723 0.500 0.061 Na
0.851 0.000 0.751 Na
0.428 0.000 0.677 Tl
0.572 0.000 0.323 Tl
0.000 0.500 0.500 Pb

***

[9]
PBE-GGA NaTlPb3, relaxed; DOS at the Fermi energy = 0.37 states/eV/atom; DFT total energy = -30.44 eV for the cell shown; volume = 303.1 Å³ per cell; size of the total moment = 0.0 μB/f.u.
1.0
7.477 0.000 0.000
0.000 5.078 0.000
-0.339 0.000 7.983
Na Tl Pb
2 2 6
Direct
0.245 0.250 0.249 Na
0.755 0.750 0.751 Na
0.050 0.250 0.850 Tl
0.950 0.750 0.150 Tl
0.154 0.750 0.554 Pb
0.356 0.750 0.954 Pb
0.451 0.250 0.645 Pb
0.549 0.750 0.355 Pb
0.644 0.250 0.046 Pb
0.846 0.250 0.446 Pb

***

[10]
PBE-GGA Na5TlPb2, relaxed; DOS at the Fermi energy = 0.49 states/eV/atom; DFT total energy = -34.51 eV for the cell shown; volume = 461.6 Å³ per cell; size of the total moment = 0.0 μB/f.u.
1.0
7.890 0.000 0.000
0.000 7.890 0.000
0.000 0.000 7.416
Na Tl Pb
10 2 4
Direct
0.000 0.000 0.000 Na
0.250 0.250 0.250 Na
0.250 0.250 0.750 Na
0.250 0.750 0.250 Na
0.250 0.750 0.750 Na
0.500 0.500 0.500 Na
0.750 0.250 0.250 Na
0.750 0.250 0.750 Na
0.750 0.750 0.250 Na
0.750 0.750 0.750 Na
0.000 0.000 0.501 Tl
0.500 0.500 0.001 Tl
0.000 0.500 0.000 Pb
0.000 0.500 0.500 Pb
0.500 0.000 0.000 Pb
0.500 0.000 0.500 Pb

***

[11]
PBE-GGA Na8Tl6Pb, relaxed; DOS at the Fermi energy = 0.34 states/eV/atom; DFT total energy = -29.54 eV for the cell shown; volume = 458.2 Å³ per cell; size of the total moment = 0.0 μB/f.u.
1.0
4.443 2.565 6.700
-4.443 2.565 6.700
0.000 -5.130 6.700
Na Tl Pb
8 6 1
Direct
0.092 0.092 0.092 Na
0.152 0.334 0.636 Na
0.334 0.636 0.152 Na
0.364 0.848 0.666 Na
0.636 0.152 0.334 Na
0.666 0.364 0.848 Na
0.848 0.666 0.364 Na
0.908 0.908 0.908 Na
0.054 0.781 0.537 Tl
0.219 0.463 0.946 Tl
0.463 0.946 0.219 Tl
0.537 0.054 0.781 Tl
0.781 0.537 0.054 Tl
0.946 0.219 0.463 Tl
0.500 0.500 0.500 Pb

***

[12]
PBE-GGA NaTl3Pb3, relaxed; DOS at the Fermi energy = 0.29 states/eV/atom; DFT total energy = -39.91 eV for the cell shown; volume = 427.8 Å³ per cell; size of the total moment = 0.0 μB/f.u.
1.0
9.287 0.000 0.000
-4.643 8.043 0.000
0.000 0.000 5.728
Na Tl Pb
2 6 6
Direct
0.333 0.667 0.250 Na
0.667 0.333 0.750 Na
0.043 0.806 0.250 Tl
0.194 0.237 0.250 Tl
0.237 0.043 0.750 Tl
0.763 0.957 0.250 Tl
0.806 0.763 0.750 Tl
0.957 0.194 0.750 Tl
0.095 0.609 0.750 Pb
0.391 0.486 0.750 Pb
0.486 0.095 0.250 Pb
0.514 0.905 0.750 Pb
0.609 0.514 0.250 Pb
0.905 0.391 0.250 Pb

***

[13]
PBE-GGA Na3Tl5Pb, relaxed; DOS at the Fermi energy = 0.32 states/eV/atom; DFT total energy = -38.86 eV for the cell shown; volume = 553.8 Å³ per cell; size of the total moment = 0.0 μB/f.u.
1.0
7.716 0.000 0.000
0.000 7.716 0.000
0.000 0.000 9.302
Na Tl Pb
6 10 2
Direct
0.000 0.000 0.000 Na
0.127 0.373 0.500 Na
0.373 0.873 0.500 Na
0.500 0.500 0.000 Na
0.627 0.127 0.500 Na
0.873 0.627 0.500 Na
0.000 0.000 0.500 Tl
0.214 0.714 0.229 Tl
0.214 0.714 0.771 Tl
0.286 0.214 0.229 Tl
0.286 0.214 0.771 Tl
0.500 0.500 0.500 Tl
0.714 0.786 0.229 Tl
0.714 0.786 0.771 Tl
0.786 0.286 0.229 Tl
0.786 0.286 0.771 Tl
0.000 0.500 0.000 Pb
0.500 0.000 0.000 Pb

***

[14]
PBE-GGA Na2Tl2Pb, relaxed; DOS at the Fermi energy = 0.52 states/eV/atom; DFT total energy = -21.84 eV for the cell shown; volume = 304.9 Å³ per cell; size of the total moment = 0.0 μB/f.u.
1.0
4.501 0.000 0.000
0.000 4.501 0.000
0.000 0.000 15.051
Na Tl Pb
4 4 2
Direct
0.000 0.500 0.250 Na
0.000 0.500 0.750 Na
0.500 0.000 0.250 Na
0.500 0.000 0.750 Na
0.000 0.000 0.099 Tl
0.000 0.000 0.901 Tl
0.500 0.500 0.401 Tl
0.500 0.500 0.599 Tl
0.000 0.000 0.500 Pb
0.500 0.500 0.000 Pb

***

[15]
PBE-GGA Na7TlPb5, relaxed; DOS at the Fermi energy = 0.50 states/eV/atom; DFT total energy = -31.25 eV for the cell shown; volume = 421.8 Å³ per cell; size of the total moment = 0.0 μB/f.u.
1.0
-3.455 5.514 5.536
3.455 -5.514 5.536
3.455 5.514 -5.536
Na Tl Pb
7 1 5
Direct
0.000 0.000 0.000 Na
0.082 0.801 0.281 Na
0.087 0.587 0.500 Na
0.374 0.374 0.000 Na
0.520 0.801 0.719 Na
0.618 0.285 0.332 Na
0.953 0.285 0.668 Na
0.690 0.690 0.000 Tl
0.300 0.310 0.524 Pb
0.300 0.777 0.991 Pb
0.510 0.010 0.500 Pb
0.786 0.310 0.009 Pb
0.786 0.777 0.476 Pb

***

[16]
PBE-GGA Na2TlPb5, relaxed; DOS at the Fermi energy = 0.28 states/eV/atom; DFT total energy = -48.84 eV for the cell shown; volume = 476.0 Å³ per cell; size of the total moment = 0.0 μB/f.u.
1.0
7.060 0.000 0.000
0.000 13.829 0.000
0.000 0.000 4.875
Na Tl Pb
4 2 10
Direct
0.243 0.123 0.000 Na
0.257 0.623 0.000 Na
0.743 0.377 0.000 Na
0.757 0.877 0.000 Na
0.000 0.000 0.500 Tl
0.500 0.500 0.500 Tl
0.000 0.253 0.500 Pb
0.000 0.500 0.500 Pb
0.000 0.747 0.500 Pb
0.245 0.373 0.000 Pb
0.255 0.873 0.000 Pb
0.500 0.000 0.500 Pb
0.500 0.247 0.500 Pb
0.500 0.753 0.500 Pb
0.745 0.127 0.000 Pb
0.755 0.627 0.000 Pb

***

[17]
PBE-GGA NaTl6Pb5, relaxed; DOS at the Fermi energy = 0.51 states/eV/atom; DFT total energy = -34.39 eV for the cell shown; volume = 366.8 Å³ per cell; size of the total moment = 0.0 μB/f.u.
1.0
5.747 -5.264 0.000
5.747 5.264 0.000
-0.969 0.000 6.062
Na Tl Pb
1 6 5
Direct
0.000 0.000 0.000 Na
0.085 0.416 0.251 Tl
0.248 0.248 0.752 Tl
0.416 0.085 0.251 Tl
0.584 0.915 0.749 Tl
0.752 0.752 0.248 Tl
0.915 0.584 0.749 Tl
0.170 0.830 0.500 Pb
0.334 0.666 0.000 Pb
0.500 0.500 0.500 Pb
0.666 0.334 0.000 Pb
0.830 0.170 0.500 Pb

***

[18]
PBE-GGA NaTlPb, relaxed; DOS at the Fermi energy = 0.52 states/eV/atom; DFT total energy = -29.92 eV for the cell shown; volume = 347.9 Å³ per cell; size of the total moment = 0.0 μB/f.u.
1.0
5.441 0.000 0.000
0.000 9.692 0.000
0.000 0.000 6.597
Na Tl Pb
4 4 4
Direct
0.000 0.158 0.250 Na
0.000 0.842 0.750 Na
0.500 0.342 0.750 Na
0.500 0.658 0.250 Na
0.000 0.500 0.000 Tl
0.000 0.500 0.500 Tl
0.500 0.000 0.000 Tl
0.500 0.000 0.500 Tl
0.000 0.172 0.750 Pb
0.000 0.828 0.250 Pb
0.500 0.328 0.250 Pb
0.500 0.672 0.750 Pb

***

[19]
PBE-GGA NaTl6Pb3, relaxed; DOS at the Fermi energy = 0.51 states/eV/atom; DFT total energy = -52.44 eV for the cell shown; volume = 642.7 Å³ per cell; size of the total moment = 0.0 μB/f.u.
1.0
5.423 0.000 0.000
0.000 11.311 0.000
-0.012 0.000 10.477
Na Tl Pb
2 12 6
Direct
0.000 0.000 0.000 Na
0.000 0.500 0.500 Na
0.000 0.087 0.333 Tl
0.000 0.413 0.833 Tl
0.000 0.587 0.167 Tl
0.000 0.913 0.667 Tl
0.001 0.200 0.623 Tl
0.001 0.300 0.123 Tl
0.498 0.710 0.626 Tl
0.498 0.790 0.126 Tl
0.502 0.210 0.874 Tl
0.502 0.290 0.374 Tl
0.999 0.700 0.877 Tl
0.999 0.800 0.377 Tl
0.500 0.000 0.500 Pb
0.500 0.081 0.156 Pb
0.500 0.419 0.656 Pb
0.500 0.500 0.000 Pb
0.500 0.581 0.344 Pb
0.500 0.919 0.844 Pb

***

[20]
PBE-GGA NaTl8Pb5, relaxed; DOS at the Fermi energy = 0.57 states/eV/atom; DFT total energy = -38.26 eV for the cell shown; volume = 454.3 Å³ per cell; size of the total moment = 0.0 μB/f.u.
1.0
-5.184 5.184 4.226
5.184 -5.184 4.226
5.184 5.184 -4.226
Na Tl Pb
1 8 5
Direct
0.000 0.000 0.000 Na
0.129 0.719 0.868 Tl
0.281 0.148 0.409 Tl
0.313 0.168 0.822 Tl
0.347 0.491 0.178 Tl
0.509 0.687 0.856 Tl
0.739 0.871 0.591 Tl
0.832 0.653 0.144 Tl
0.852 0.261 0.132 Tl
0.032 0.296 0.559 Pb
0.250 0.750 0.500 Pb
0.527 0.968 0.264 Pb
0.704 0.263 0.736 Pb
0.737 0.473 0.441 Pb